Material: SrTaO2F
Method: DFT, meta-GGA SCAN
State: PBEsol geometry

Properties
Formation energy without anion corrections   -0.501 eV per atom
Calculated volume   87 Å³ per cell
Calculated density   6100 kg/m³
Uncorrected energy   -21.473 eV/atom
SG   P4/mmm
Size of the total moment   0.398 μB per atom

Cell and atoms, written as POSCAR:
```
SrTaO2F
1.0
4.531 0.000 0.000
0.000 4.531 0.000
0.000 0.000 4.237
Sr Ta O F
1 1 2 1
Direct
0.000 0.000 0.000 Sr
0.500 0.500 0.500 Ta
0.000 0.500 0.000 O
0.500 0.000 0.000 O
0.000 0.000 0.500 F
```

Material: Be2CdPbO
Method: DFT, meta-GGA SCAN
State: PBEsol geometry

Properties
Formation energy without anion corrections   0.987 eV per atom
Calculated volume   106 Å³ per cell
Calculated density   5536 kg/m³
Uncorrected energy   -23.240 eV/atom
SG   P4/mmm
Size of the total moment   0.135 μB per atom

Cell and atoms, written as POSCAR:
```
Be2CdPbO
1.0
4.283 0.000 0.000
0.000 4.283 0.000
0.000 0.000 5.782
Be Cd Pb O
2 1 1 1
Direct
0.000 0.500 0.000 Be
0.500 0.000 0.000 Be
0.000 0.000 0.000 Cd
0.000 0.000 0.500 Pb
0.500 0.500 0.500 O
```

Material: ScTaIr2
Method: DFT, meta-GGA SCAN
State: PBEsol geometry

Properties
Calculated volume   64 Å³ per cell
Calculated density   15876 kg/m³
Uncorrected energy   -56.666 eV/atom
SG   Cmmm
Size of the total moment   0.000 μB per atom
ΔH_f (0 K)   -0.91 eV/atom

Cell and atoms, written as POSCAR:
```
ScTaIr2
1.0
3.024 -3.586 0.000
3.024 3.586 0.000
0.000 0.000 2.943
Sc Ta Ir
1 1 2
Direct
0.000 0.000 0.000 Sc
0.500 0.500 0.000 Ta
0.000 0.500 0.500 Ir
0.500 0.000 0.500 Ir
```

Material: Li2InOs
Method: DFT, meta-GGA SCAN
State: PBEsol geometry

Properties
Calculated volume   62 Å³ per cell
Calculated density   8528 kg/m³
Uncorrected energy   -27.425 eV/atom
SG   P2/m
Size of the total moment   0.000 μB per atom
ΔH_f (0 K)   0.09 eV/atom

Cell and atoms, written as POSCAR:
```
Li2InOs
1.0
2.744 0.000 0.000
0.000 4.641 0.000
-0.332 0.000 4.877
Li In Os
2 1 1
Direct
0.235 0.000 0.214 Li
0.765 0.000 0.786 Li
0.000 0.500 0.500 In
0.500 0.500 0.000 Os
```

Material: KTlAs2
Method: DFT, meta-GGA SCAN
State: PBEsol geometry

Properties
Calculated volume   114 Å³ per cell
Calculated density   5744 kg/m³
Uncorrected energy   -30.565 eV/atom
SG   Cm
Size of the total moment   0.000 μB per atom
ΔH_f (0 K)   -0.30 eV/atom

Cell and atoms, written as POSCAR:
```
KTlAs2
1.0
6.231 -1.834 0.000
6.231 1.834 0.000
-1.749 0.000 4.976
K Tl As
1 1 2
Direct
0.000 0.000 0.000 K
0.789 0.789 0.350 Tl
0.237 0.237 0.819 As
0.608 0.608 0.582 As
```

Material: Tb2S2O
Method: DFT, meta-GGA SCAN
State: PBEsol geometry

Properties
Formation energy without anion corrections   -2.944 eV per atom
Calculated volume   378 Å³ per cell
Calculated density   6994 kg/m³
Uncorrected energy   -26.747 eV/atom
SG   P2_1/c
Size of the total moment   0.000 μB per atom

Cell and atoms, written as POSCAR:
```
Tb2S2O
1.0
8.190 0.000 0.000
0.000 6.873 0.000
-1.124 0.000 6.715
Tb S O
8 8 4
Direct
0.077 0.142 0.319 Tb
0.077 0.358 0.819 Tb
0.363 0.554 0.250 Tb
0.363 0.946 0.750 Tb
0.637 0.054 0.250 Tb
0.637 0.446 0.750 Tb
0.923 0.642 0.181 Tb
0.923 0.858 0.681 Tb
0.181 0.636 0.572 S
0.181 0.864 0.072 S
0.423 0.222 0.471 S
0.423 0.278 0.971 S
0.577 0.722 0.029 S
0.577 0.778 0.529 S
0.819 0.136 0.928 S
0.819 0.364 0.428 S
0.117 0.087 0.650 O
0.117 0.413 0.150 O
0.883 0.587 0.850 O
0.883 0.913 0.350 O
```